The following is a DFT calculation (PBE-GGA) of Li2PmAsO after structural relaxation.

space-group type: No. 123
crystal system: tetragonal
Fermi-level density of states: 0.437 states/eV/f.u.
ρ: 4971 kg/m3
electronic total energy: -5.32 eV per atom
size of the total moment: 0.00 μB/cell

Geometry as POSCAR:
```
Li2PmAsO
1.0
-2.9774 -2.7065 -1.1728
2.4167 -3.1938 1.2349
-1.9167 0.2277 4.3405
Li Pm O As
2 1 1 1
direct
0.5000 0.0000 0.9997
0.0000 0.5000 0.9997
0.0000 0.0000 0.4998
0.0000 0.0000 0.0001
0.5000 0.5000 0.5008
```

=====

The following is a DFT calculation (PBE-GGA) of La4Tc2N after structural relaxation.

space-group type: No. 139
crystal system: tetragonal
Fermi-level density of states: 3.559 states/eV/f.u.
ρ: 7353 kg/m3
electronic total energy: -7.22 eV per atom
size of the total moment: 0.00 μB/cell

Geometry as POSCAR:
```
La4Tc2N
1.0
-0.0652 -3.9823 -3.3879
4.7510 -1.4596 1.6242
-0.2972 -6.4197 3.5168
Tc La N
2 4 1
direct
0.6129 0.6129 0.7742
0.3871 0.3871 0.2258
0.8039 0.8039 0.3922
0.1961 0.1961 0.6078
0.0000 0.5000 0.0000
0.5000 0.0000 0.0000
0.0000 0.0000 0.0000
```

=====

The following is a DFT calculation (PBE-GGA) of Y2MnVCu after structural relaxation.

space-group type: No. 123
crystal system: tetragonal
Fermi-level density of states: 5.128 states/eV/f.u.
ρ: 4476 kg/m3
electronic total energy: -6.35 eV per atom
size of the total moment: 7.63 μB/cell
formation enthalpy at 0 K: 0.710 eV per atom

Geometry as POSCAR:
```
Y2MnVCu
1.0
5.2904 0.0000 0.0000
0.0000 4.6021 0.0000
0.0000 0.0000 5.2904
Mn Y V Cu
1 2 1 1
direct
0.5000 0.5000 0.5000
0.5000 0.0000 0.0000
0.0000 0.0000 0.5000
0.0000 0.5000 0.0000
0.0000 0.0000 0.0000
```

=====

The following is a DFT calculation (PBE-GGA) of Np2ReSn after structural relaxation.

space-group type: No. 123
crystal system: tetragonal
Fermi-level density of states: 11.284 states/eV/f.u.
ρ: 15028 kg/m3
electronic total energy: -10.33 eV per atom
size of the total moment: 6.64 μB/cell
formation enthalpy at 0 K: 0.253 eV per atom

Geometry as POSCAR:
```
Np2ReSn
1.0
3.8403 0.0000 0.0000
0.0000 3.8403 0.0000
0.0000 0.0000 5.8359
Np Re Sn
2 1 1
direct
0.0000 0.0000 0.7714
0.0000 0.0000 0.2286
0.5000 0.5000 0.0000
0.5000 0.5000 0.5000
```

=====

The following is a DFT calculation (PBE-GGA) of LaCd2Sb after structural relaxation.

space-group type: No. 216
crystal system: cubic
Fermi-level density of states: 4.904 states/eV/f.u.
ρ: 7293 kg/m3
electronic total energy: -3.06 eV per atom
size of the total moment: 0.00 μB/cell

Geometry as POSCAR:
```
LaCd2Sb
1.0
-0.0455 0.9565 5.3012
3.0500 -2.9717 3.2995
4.3110 2.1843 2.3800
Sb Cd La
1 2 1
direct
0.7500 0.7500 0.7500
0.2500 0.2500 0.2500
0.0000 0.0000 0.0000
0.5000 0.5000 0.5000
```

=====

The following is a DFT calculation (PBE-GGA) of TaAg2Ir after structural relaxation.

space-group type: No. 123
crystal system: tetragonal
Fermi-level density of states: 3.115 states/eV/f.u.
ρ: 14356 kg/m3
electronic total energy: -6.39 eV per atom
size of the total moment: 0.00 μB/cell
formation enthalpy at 0 K: 0.218 eV per atom
E above lowest polymorph: 0.193 eV per atom

Geometry as POSCAR:
```
TaAg2Ir
1.0
-2.2265 -1.6981 -2.5519
-1.4609 -2.1849 2.7286
-3.3755 3.2414 0.7882
Ir Ta Ag
1 1 2
direct
0.5000 0.0000 0.5000
0.0000 0.5000 0.5000
0.0000 0.0000 0.0000
0.5000 0.5000 0.0000
```

=====

The following is a DFT calculation (PBE-GGA) of YCu2Sb2 after structural relaxation.

space-group type: No. 63
crystal system: orthorhombic
Fermi-level density of states: 1.663 states/eV/f.u.
ρ: 7320 kg/m3
electronic total energy: -5.05 eV per atom
size of the total moment: 0.00 μB/cell

Geometry as POSCAR:
```
YCu2Sb2
1.0
4.2556 0.0000 -0.7564
0.0000 4.3055 0.0000
-0.1674 0.0000 11.4075
Cu Sb Y
4 4 2
direct
0.0300 0.7500 0.0600
0.9700 0.2500 0.9400
0.5290 0.2500 0.0580
0.4710 0.7500 0.9420
0.9004 0.7500 0.8008
0.0996 0.2500 0.1992
0.2501 0.7500 0.5002
0.7499 0.2500 0.4998
0.6395 0.7500 0.2790
0.3605 0.2500 0.7210
```

=====

The following is a DFT calculation (PBE-GGA) of Rb2CaErCl6 after structural relaxation.

space-group type: No. 59
crystal system: orthorhombic
Fermi-level density of states: 4.741 states/eV/f.u.
ρ: 3142 kg/m3
electronic total energy: -3.98 eV per atom
size of the total moment: 0.77 μB/cell

Geometry as POSCAR:
```
Rb2CaErCl6
1.0
7.6120 0.0000 0.0000
0.0000 7.6179 0.0000
0.0000 0.0000 10.7737
Cl Rb Ca Er
12 4 2 2
direct
0.0000 0.7501 0.2462
0.2542 0.0023 0.5000
0.7458 0.0023 0.5000
0.5000 0.2499 0.7462
0.2458 0.9977 0.0000
0.2465 0.5055 0.0000
0.7542 0.9977 0.0000
0.5000 0.2499 0.2538
0.0000 0.7501 0.7538
0.7535 0.5055 0.0000
0.2535 0.4945 0.5000
0.7465 0.4945 0.5000
0.5000 0.7506 0.2498
0.5000 0.7506 0.7502
0.0000 0.2494 0.2502
0.0000 0.2494 0.7498
0.5000 0.2514 0.0000
0.0000 0.7486 0.5000
0.0000 0.7512 0.0000
0.5000 0.2488 0.5000
```